K2FeOF: optimized geometry, GGA+U.

Output
calculated total energy: -21.67 eV per cell

a = 5.493 Å, b = 5.493 Å, c = 3.700 Å
α = 90.00°, β = 90.00°, γ = 90.00°
Atoms (fractional coordinates):
K 0.000 0.500 0.000
K 0.500 0.000 0.000
Fe 0.000 0.000 0.500
O 0.000 0.000 0.000
F 0.500 0.500 0.500